# BaBeCd2Te, relaxed, DFT GGA-PBE
# Formation energy without anion corrections (eV/atom): 0.71
data_BaBeCd2Te
_cell_length_a 7.268
_cell_length_b 7.268
_cell_length_c 6.387
_cell_angle_alpha 90.00
_cell_angle_beta 90.00
_cell_angle_gamma 90.00
_space_group_name_H-M_alt 'P 4/m m m'
_space_group_IT_number 123
_space_group_name_Hall '-P 4 2'
loop_
_atom_site_label
_atom_site_type_symbol
_atom_site_fract_x
_atom_site_fract_y
_atom_site_fract_z
_atom_site_occupancy
Ba1 Ba 0.000 0.000 0.000 1
Be1 Be 0.500 0.500 0.500 1
Cd1 Cd 0.000 0.500 0.000 1
Te1 Te 0.000 0.000 0.500 1

***

# BaBe2ZnCd, relaxed, DFT GGA-PBE
# Energy relative to the elements (eV per atom): 0.4306
data_BaBe2ZnCd
_cell_length_a 4.654
_cell_length_b 4.654
_cell_length_c 5.140
_cell_angle_alpha 90.00
_cell_angle_beta 90.00
_cell_angle_gamma 90.00
_space_group_name_H-M_alt 'P 4/m m m'
_space_group_IT_number 123
_space_group_name_Hall '-P 4 2'
loop_
_atom_site_label
_atom_site_type_symbol
_atom_site_fract_x
_atom_site_fract_y
_atom_site_fract_z
_atom_site_occupancy
Ba1 Ba 0.000 0.000 0.000 1
Be1 Be 0.000 0.500 0.500 1
Zn1 Zn 0.500 0.500 0.500 1
Cd1 Cd 0.500 0.500 0.000 1

***

# BaCeBeN3, relaxed, DFT GGA-PBE
# Formation energy without anion corrections (eV/atom): -0.83
data_BaCeBeN3
_cell_length_a 7.478
_cell_length_b 3.502
_cell_length_c 7.734
_cell_angle_alpha 90.00
_cell_angle_beta 104.10
_cell_angle_gamma 90.00
_space_group_name_H-M_alt 'P 1 21/m 1'
_space_group_IT_number 11
loop_
_space_group_symop_operation_xyz
'x,y,z'
'-x,-y,-z'
'-x,y+1/2,-z'
'x,-y+1/2,z'
loop_
_atom_site_label
_atom_site_type_symbol
_atom_site_fract_x
_atom_site_fract_y
_atom_site_fract_z
_atom_site_occupancy
Ba1 Ba 0.228 0.250 0.183 1
Ce1 Ce 0.181 0.250 0.659 1
Be1 Be 0.402 0.750 0.928 1
N1 N 0.149 0.750 0.455 1
N2 N 0.168 0.750 0.866 1
N3 N 0.475 0.250 0.858 1

***

# Ba2CeBeO5, relaxed, DFT GGA-PBE
# Formation energy without anion corrections (eV/atom): -2.81
data_Ba2CeBeO5
_cell_length_a 3.611
_cell_length_b 14.466
_cell_length_c 11.560
_cell_angle_alpha 90.00
_cell_angle_beta 90.00
_cell_angle_gamma 90.00
_space_group_name_H-M_alt 'C m c 21'
_space_group_IT_number 36
loop_
_space_group_symop_operation_xyz
'x,y,z'
'-x,-y,z+1/2'
'-x,y,z'
'x,-y,z+1/2'
'x+1/2,y+1/2,z'
'-x+1/2,-y+1/2,z+1/2'
'-x+1/2,y+1/2,z'
'x+1/2,-y+1/2,z+1/2'
loop_
_atom_site_label
_atom_site_type_symbol
_atom_site_fract_x
_atom_site_fract_y
_atom_site_fract_z
_atom_site_occupancy
Ba1 Ba 0.000 0.105 0.000 1
Ba2 Ba 0.000 0.128 0.667 1
Ce1 Ce 0.000 0.184 0.359 1
Be1 Be 0.000 0.441 0.729 1
O1 O 0.000 0.037 0.310 1
O2 O 0.000 0.301 0.983 1
O3 O 0.000 0.331 0.339 1
O4 O 0.000 0.331 0.728 1
O5 O 0.000 0.498 0.618 1

***

# Ba2CeBe2O6, relaxed, DFT GGA-PBE
# Formation energy without anion corrections (eV/atom): -2.87
data_Ba2CeBe2O6
_cell_length_a 5.7055
_cell_length_b 5.7055
_cell_length_c 17.5357
_cell_angle_alpha 90.00
_cell_angle_beta 90.00
_cell_angle_gamma 120.00
_space_group_name_H-M_alt 'R -3 m'
_space_group_IT_number 166
_space_group_name_Hall '-R 3 2"'
loop_
_atom_site_label
_atom_site_type_symbol
_atom_site_fract_x
_atom_site_fract_y
_atom_site_fract_z
_atom_site_occupancy
Ba1 Ba 0.0000 0.0000 0.2171 1
Ce1 Ce 0.0000 0.0000 0.0000 1
Be1 Be 0.0000 0.0000 0.4175 1
O1 O 0.0188 0.5094 0.2514 1

***

# BaCeBeS4, relaxed, DFT GGA-PBE
# Formation energy without anion corrections (eV/atom): -1.66
data_BaCeBeS4
_cell_length_a 6.267
_cell_length_b 6.413
_cell_length_c 8.524
_cell_angle_alpha 90.00
_cell_angle_beta 108.59
_cell_angle_gamma 90.00
_space_group_name_H-M_alt 'P 1 21/m 1'
_space_group_IT_number 11
loop_
_space_group_symop_operation_xyz
'x,y,z'
'-x,-y,-z'
'-x,y+1/2,-z'
'x,-y+1/2,z'
loop_
_atom_site_label
_atom_site_type_symbol
_atom_site_fract_x
_atom_site_fract_y
_atom_site_fract_z
_atom_site_occupancy
Ba1 Ba 0.235 0.250 0.433 1
Ce1 Ce 0.266 0.250 0.944 1
Be1 Be 0.281 0.750 0.179 1
S1 S 0.080 0.750 0.931 1
S2 S 0.094 0.750 0.345 1
S3 S 0.493 0.502 0.780 1

***

# BaCeBeSe4, relaxed, DFT GGA-PBE
# Formation energy without anion corrections (eV/atom): -1.50
data_BaCeBeSe4
_cell_length_a 6.679
_cell_length_b 6.561
_cell_length_c 8.879
_cell_angle_alpha 90.00
_cell_angle_beta 108.10
_cell_angle_gamma 90.00
_space_group_name_H-M_alt 'P 1 21/m 1'
_space_group_IT_number 11
loop_
_space_group_symop_operation_xyz
'x,y,z'
'-x,-y,-z'
'-x,y+1/2,-z'
'x,-y+1/2,z'
loop_
_atom_site_label
_atom_site_type_symbol
_atom_site_fract_x
_atom_site_fract_y
_atom_site_fract_z
_atom_site_occupancy
Ba1 Ba 0.236 0.250 0.435 1
Ce1 Ce 0.261 0.250 0.944 1
Be1 Be 0.273 0.750 0.179 1
Se1 Se 0.082 0.750 0.925 1
Se2 Se 0.089 0.750 0.350 1
Se3 Se 0.492 0.506 0.776 1

***

# BaBe2Cl, relaxed, DFT GGA-PBE
# Energy above the lowest structure with this stoichiometry (meV per atom): 0.0
# Formation energy without anion corrections (eV/atom): -0.18
data_BaBe2Cl
_cell_length_a 9.763
_cell_length_b 4.360
_cell_length_c 4.455
_cell_angle_alpha 90.00
_cell_angle_beta 90.11
_cell_angle_gamma 90.00
_space_group_name_H-M_alt 'C 1 2/m 1'
_space_group_IT_number 12
loop_
_space_group_symop_operation_xyz
'x,y,z'
'-x,-y,-z'
'-x,y,-z'
'x,-y,z'
'x+1/2,y+1/2,z'
'-x+1/2,-y+1/2,-z'
'-x+1/2,y+1/2,-z'
'x+1/2,-y+1/2,z'
loop_
_atom_site_label
_atom_site_type_symbol
_atom_site_fract_x
_atom_site_fract_y
_atom_site_fract_z
_atom_site_occupancy
Ba1 Ba 0.000 0.000 0.000 1
Be1 Be 0.223 0.500 0.500 1
Cl1 Cl 0.000 0.500 0.500 1

***

# BaBe2Cl, relaxed, DFT GGA-PBE
# Energy above the lowest structure with this stoichiometry (meV per atom): 400.9
# Formation energy without anion corrections (eV/atom): 0.22
data_BaBe2Cl
_cell_length_a 4.267
_cell_length_b 4.090
_cell_length_c 6.077
_cell_angle_alpha 90.00
_cell_angle_beta 100.46
_cell_angle_gamma 90.00
_space_group_name_H-M_alt 'P 1 2/m 1'
_space_group_IT_number 10
loop_
_space_group_symop_operation_xyz
'x,y,z'
'-x,-y,-z'
'-x,y,-z'
'x,-y,z'
loop_
_atom_site_label
_atom_site_type_symbol
_atom_site_fract_x
_atom_site_fract_y
_atom_site_fract_z
_atom_site_occupancy
Ba1 Ba 0.000 0.000 0.000 1
Be1 Be 0.000 0.500 0.500 1
Be2 Be 0.500 0.000 0.500 1
Cl1 Cl 0.500 0.500 0.000 1

***

# Ba4BeCl, relaxed, DFT GGA-PBE
# Formation energy without anion corrections (eV/atom): 0.49
data_Ba4BeCl
_cell_length_a 10.468
_cell_length_b 10.468
_cell_length_c 10.468
_cell_angle_alpha 90.00
_cell_angle_beta 90.00
_cell_angle_gamma 90.00
_space_group_name_H-M_alt 'F -4 3 m'
_space_group_IT_number 216
_space_group_name_Hall 'F -4 2 3'
loop_
_atom_site_label
_atom_site_type_symbol
_atom_site_fract_x
_atom_site_fract_y
_atom_site_fract_z
_atom_site_occupancy
Ba1 Ba 0.125 0.125 0.125 1
Be1 Be 0.250 0.250 0.750 1
Cl1 Cl 0.000 0.000 0.500 1

***

# BaBe2Cl, relaxed, DFT GGA-PBE
# Energy above the lowest structure with this stoichiometry (meV per atom): 393.4
# Formation energy without anion corrections (eV/atom): 0.22
data_BaBe2Cl
_cell_length_a 4.172
_cell_length_b 4.172
_cell_length_c 11.980
_cell_angle_alpha 90.00
_cell_angle_beta 90.00
_cell_angle_gamma 90.00
_space_group_name_H-M_alt 'I 4/m m m'
_space_group_IT_number 139
_space_group_name_Hall '-I 4 2'
loop_
_atom_site_label
_atom_site_type_symbol
_atom_site_fract_x
_atom_site_fract_y
_atom_site_fract_z
_atom_site_occupancy
Ba1 Ba 0.000 0.000 0.000 1
Be1 Be 0.000 0.500 0.250 1
Cl1 Cl 0.000 0.000 0.500 1

***

# BaBeCl2, relaxed, DFT GGA-PBE
# Energy above the lowest structure with this stoichiometry (meV per atom): 236.2
# Formation energy without anion corrections (eV/atom): -0.86
data_BaBeCl2
_cell_length_a 4.379
_cell_length_b 4.515
_cell_length_c 12.074
_cell_angle_alpha 90.00
_cell_angle_beta 90.00
_cell_angle_gamma 90.00
_space_group_name_H-M_alt 'I m m 2'
_space_group_IT_number 44
loop_
_space_group_symop_operation_xyz
'x,y,z'
'-x,-y,z'
'-x,y,z'
'x,-y,z'
'x+1/2,y+1/2,z+1/2'
'-x+1/2,-y+1/2,z+1/2'
'-x+1/2,y+1/2,z+1/2'
'x+1/2,-y+1/2,z+1/2'
loop_
_atom_site_label
_atom_site_type_symbol
_atom_site_fract_x
_atom_site_fract_y
_atom_site_fract_z
_atom_site_occupancy
Ba1 Ba 0.000 0.000 0.000 1
Be1 Be 0.000 0.500 0.792 1
Cl1 Cl 0.000 0.000 0.566 1
Cl2 Cl 0.000 0.500 0.318 1

***

# BaBeCl2, relaxed, DFT GGA-PBE
# Energy above the lowest structure with this stoichiometry (meV per atom): 0.0
# Formation energy without anion corrections (eV/atom): -1.10
data_BaBeCl2
_cell_length_a 10.368
_cell_length_b 4.879
_cell_length_c 4.754
_cell_angle_alpha 90.00
_cell_angle_beta 90.04
_cell_angle_gamma 90.00
_space_group_name_H-M_alt 'C 1 m 1'
_space_group_IT_number 8
loop_
_space_group_symop_operation_xyz
'x,y,z'
'x,-y,z'
'x+1/2,y+1/2,z'
'x+1/2,-y+1/2,z'
loop_
_atom_site_label
_atom_site_type_symbol
_atom_site_fract_x
_atom_site_fract_y
_atom_site_fract_z
_atom_site_occupancy
Ba1 Ba 0.000 0.000 0.000 1
Be1 Be 0.286 0.500 0.500 1
Cl1 Cl 0.097 0.500 0.499 1
Cl2 Cl 0.304 0.000 0.998 1

***

no.,DFT total energy (eV per cell)
1,-7.073
2,-9.411
3,-83.043
4,-254.233
5,-235.675
6,-79.434
7,-71.991
8,-23.853
9,-10.323
10,-41.328
11,-20.706
12,-25.566
13,-27.456